DyAg3Hg3 (PBE, relaxed); E above lowest polymorph = 0.000 eV/atom; SG = R-3; formation enthalpy at 0 K = -0.07 eV/atom; total energy = -2.0771 eV per atom; density of states at the Fermi level = 6.3 states/eV per cell
1.0
3.781 2.183 6.410
-3.781 2.183 6.410
0.000 -4.366 6.410
Dy Ag Hg
2 6 6
direct
0.163 0.163 0.163 Dy
0.837 0.837 0.837 Dy
0.034 0.613 0.213 Ag
0.213 0.034 0.613 Ag
0.387 0.787 0.966 Ag
0.613 0.213 0.034 Ag
0.787 0.966 0.387 Ag
0.966 0.387 0.787 Ag
0.193 0.677 0.437 Hg
0.323 0.563 0.807 Hg
0.437 0.193 0.677 Hg
0.563 0.807 0.323 Hg
0.677 0.437 0.193 Hg
0.807 0.323 0.563 Hg